(1)
DFT (GGA-PBE) results for crystalline GeAs2PdSe at its relaxed geometry.

For the energy relative to the lowest polymorph listed for this composition, the calculation gives 0.0 kJ/mol of formula units. Its formation energy without anion corrections is 0.55 eV/atom. As for the final energy: -3.96 eV per atom.

The structure belongs to space group P4/mmm (No. 123); the cell edges are 4.7971, 4.7971 and 5.1973 Å and the angles 90.00°, 90.00° and 90.00°. The asymmetric unit holds Ge at (0.0000, 0.0000, 0.0000), As at (0.0000, 0.5000, 0.5000), Pd at (0.5000, 0.5000, 0.5000) and Se at (0.5000, 0.5000, 0.0000).

(2)
DFT (GGA-PBE) results for crystalline DySn6 at its relaxed geometry.

As for the final energy: -3.68 eV per atom. The energy of formation from the pure elements comes out at 2.86 eV/f.u.

The structure belongs to space group Im-3m (No. 229); the cell edges are 8.0748, 8.0748 and 8.0748 Å and the angles 90.00°, 90.00° and 90.00°. The asymmetric unit holds Dy at (0.0000, 0.0000, 0.0000) and Sn at (0.0000, 0.2500, 0.5000).